# 1
A relaxed structure of CrFe2GeS, computed with PBE.

Geometry as extended XYZ:
```
5
Lattice="-2.8443 -2.7716 -1.1962 2.2761 -0.8193 -3.5136 2.0531 -2.9810 2.0251" Properties=species:S:1:pos:R:3 pbc="T T T"
S 0.0000 0.0000 0.0000
Cr 1.1380 -0.4097 -1.7568
Ge 0.7424 -3.2859 -1.3424
Fe 1.0265 -1.4905 1.0125
Fe -1.4221 -1.3858 -0.5981
```

***

# 2
A relaxed structure of NaHfCr2Cl, computed with PBE.

Geometry as extended XYZ:
```
5
Lattice="5.1376 0.0000 0.0000 0.0000 4.5431 0.0000 0.0000 0.0000 5.1376" Properties=species:S:1:pos:R:3 pbc="T T T"
Na 0.0000 0.0000 0.0000
Cr 0.0000 0.0000 2.5688
Cr 2.5688 0.0000 0.0000
Hf 2.5688 2.2716 2.5688
Cl 0.0000 2.2716 0.0000
```

***

ΔE_f (raw)
In order: 0.32, 1.35
Unit: eV per atom
Magnetic moment
In order: 5.7, 8.3
Unit: μB per formula unit